Entry one
A geometry-optimized ZrSi2Te structure, computed with GGA-PBE.

a = 3.4491 Å, b = 4.7859 Å, c = 4.7859 Å
α = 90.00°, β = 90.00°, γ = 90.00°
Atoms (fractional coordinates):
Si: 0.0000 0.0000 0.0000
Si: 0.0000 0.5000 0.5000
Te: 0.5000 0.5000 0.0000
Zr: 0.5000 0.0000 0.5000

**Magnetic moment**: 0.0 μB/cell
**SG**: P4/mmm
**Theoretical density**: 5.780 Mg/m³
**DOS(E_F)**: 0.551 states/eV per atom

***

Entry two
A geometry-optimized ZrSi2Te structure, computed with GGA-PBE.

a = 3.5804 Å, b = 3.5804 Å, c = 6.5066 Å
α = 90.00°, β = 90.00°, γ = 90.00°
Atoms (fractional coordinates):
Si: 0.0000 0.0000 0.0191
Si: 0.5000 0.5000 0.1712
Te: 0.0000 0.0000 0.5387
Zr: 0.5000 0.5000 0.7710

**Magnetic moment**: 0.0 μB/cell
**SG**: P4mm
**Theoretical density**: 5.475 Mg/m³
**DOS(E_F)**: 0.445 states/eV per atom

***

Relative to the most stable one, in kJ/mol of atoms, the structures come out at entry one 16.2; entry two 0.0.